The following is a DFT calculation (PBE) of Y2AgOs2 after structural relaxation.

As for the density: 10.36 g/cm3. Its calculated volume is 21.3 Å³/atom. The value obtained for the formation energy from the elements is -0.02 eV/atom.

```
Y2AgOs2
1.0
7.0165 0.0000 0.0000
0.0000 7.0165 0.0000
0.0000 0.0000 4.3363
Y Ag Os
4 2 4
Cartesian
1.2472 2.2611 0.0000
2.2611 5.7693 0.0000
4.7555 1.2472 0.0000
5.7693 4.7555 0.0000
0.0000 0.0000 2.1682
3.5083 3.5083 2.1682
0.8418 4.3501 2.1682
2.6664 0.8418 2.1682
4.3501 6.1747 2.1682
6.1747 2.6664 2.1682
```